Density functional theory data (PBE) for an optimized crystal structure of Ac4TeIrBr2.

Calculated values
For the total moment, the calculation gives 0.000 μB per atom. The value obtained for the calculated volume is 36.81 Å³ per atom. As for the space group: P2/m, No. 10. The theoretical density is 7.8 g/cm³. The calculation puts the energy relative to the elements, uncorrected at -1220 meV per atom.

a b c (Å): 4.4049 8.5237 8.2671
angles (deg): 108.44 90.00 90.00
Sites, in units of the cell vectors:
Te: 0.0000 0.0000 0.0000
Br: 0.5000 0.0000 0.5000
Br: 0.0000 0.5000 0.5000
Ac: 0.0000 0.2972 0.8000
Ac: 0.5000 0.7197 0.7767
Ac: 0.5000 0.2803 0.2233
Ac: 0.0000 0.7028 0.2000
Ir: 0.5000 0.5000 0.0000

***

Density functional theory data (PBE) for an optimized crystal structure of Pr5Dy4Ho3.

Calculated values
For the total moment, the calculation gives 0.000 μB per atom. The value obtained for the calculated volume is 34.13 Å³ per atom. As for the space group: C2/m, No. 12. The theoretical density is 7.5 g/cm³. The calculation puts the energy of formation from the pure elements at 0.23 eV per atom.

a b c (Å): 5.8495 5.7316 14.5026
angles (deg): 84.30 78.37 59.32
Sites, in units of the cell vectors:
Pr: 0.5000 0.5000 0.5000
Ho: 0.0000 0.5000 0.5000
Pr: 0.6692 0.6627 0.9988
Dy: 0.8193 0.0033 0.3580
Dy: 0.1807 0.9967 0.6420
Ho: 0.5434 0.6616 0.2515
Dy: 0.9370 0.0011 0.1250
Dy: 0.0630 0.9989 0.8750
Pr: 0.8002 0.6546 0.7450
Pr: 0.3308 0.3373 0.0012
Pr: 0.1998 0.3454 0.2550
Ho: 0.4566 0.3384 0.7485

***

Density functional theory data (PBE) for an optimized crystal structure of NaCa2SbS4.

Calculated values
For the total moment, the calculation gives 0.000 μB per atom. The value obtained for the calculated volume is 23.03 Å³ per atom. As for the space group: P2/m, No. 10. The theoretical density is 3.2 g/cm³. The calculation puts the energy relative to the elements, uncorrected at -1351 meV per atom.

a b c (Å): 4.0293 6.9727 6.9176
angles (deg): 108.55 90.00 90.00
Sites, in units of the cell vectors:
Ca: 0.5000 0.0000 0.5000
S: 0.0000 0.2388 0.7471
S: 0.0000 0.7612 0.2529
S: 0.5000 0.2427 0.2447
Sb: 0.0000 0.0000 0.0000
S: 0.5000 0.7573 0.7553
Na: 0.5000 0.5000 0.0000
Ca: 0.0000 0.5000 0.5000

***

Look up the total moment of the first one.
0.000 μB per atom

***

Which value of theoretical density does entry 3 give?
3.2 g/cm³

***

Look up the theoretical density of the second one.
7.5 g/cm³

***

Which value of total moment does entry 2 give?
0.000 μB per atom